Material: PaHgAsO
Method: DFT, PBE-GGA
State: relaxed

Results
Crystal system: tetragonal
Distance to the lowest polymorph of the same formula: 200 kJ/mol of formula units
Spin magnetization: 1.21 μB per formula unit
Energy: -5.275 eV/atom

Cell: 6.0736 6.0736 4.8527 Å, 90.00 90.00 90.00°
Closest atoms and distances in Å follow each position.
Fractional positions:
As: 0.0000 0.5000 0.4673  2 Hg 2.42-2.43
As: 0.5000 0.0000 0.5327  2 Hg 2.42-2.43
Hg: 0.5000 0.0000 0.0319  2 As 2.42-2.43
Hg: 0.0000 0.5000 0.9681  2 As 2.42-2.43
O: 0.0000 0.0000 0.0000  2 Pa 2.43
O: 0.5000 0.5000 0.0000  2 Pa 2.43
Pa: 0.0000 0.0000 0.5000  2 O 2.43
Pa: 0.5000 0.5000 0.5000  2 O 2.43